No. 1
Compound: CeAlTl
Source: Alexandria
Functional: PBE-GGA
Structure: optimized geometry

a b c (Å): 4.893 4.893 3.591
angles (deg): 90.00 90.00 120.00
Element x y z (fractional)
Ce 0.000 0.000 0.000
Al 0.667 0.333 0.500
Tl 0.333 0.667 0.500

Summary:
Energy above the lowest structure with this stoichiometry ... 0 meV per atom
Space group ... P-6m2
D(E_F) ... 1.96 states/eV per atom
Crystal system ... hexagonal

***

No. 2
Compound: Ce2AlTl
Source: Alexandria
Functional: PBE-GGA
Structure: optimized geometry

a b c (Å): 11.174 11.174 11.174
angles (deg): 16.69 16.69 16.69
Element x y z (fractional)
Ce 0.245 0.245 0.245
Ce 0.755 0.755 0.755
Al 0.500 0.500 0.500
Tl 0.000 0.000 0.000

Summary:
Space group ... R-3m
D(E_F) ... 2.02 states/eV per atom
Crystal system ... trigonal

***

No. 3
Compound: Ce2AlTl
Source: Alexandria
Functional: PBE-GGA
Structure: optimized geometry

a b c (Å): 3.286 3.286 9.345
angles (deg): 90.00 90.00 90.00
Element x y z (fractional)
Ce 0.000 0.000 0.229
Ce 0.000 0.000 0.771
Al 0.500 0.500 0.000
Tl 0.500 0.500 0.500

Summary:
Space group ... P4/mmm
D(E_F) ... 1.99 states/eV per atom
Crystal system ... tetragonal

***

| no. | formation enthalpy at 0 K (eV/atom) |
| --- | --- |
| 1 | -0.2153 |
| 2 | -0.0930 |
| 3 | -0.2769 |